No. 1
Compound: NpPaAg
Source: the Open Quantum Materials Database
Functional: PBE
Structure: relaxed

Structure (CIF):
```
data_NpPaAg
_chemical_formula_sum 'Np1 Pa1 Ag1'
_cell_length_a 4.628
_cell_length_b 4.628
_cell_length_c 4.628
_cell_angle_alpha 60.00
_cell_angle_beta 60.00
_cell_angle_gamma 60.00
_symmetry_space_group_name_H-M 'P 1'
_symmetry_Int_Tables_number 1
loop_
_symmetry_equiv_pos_as_xyz
'x,y,z'
loop_
_atom_site_label
_atom_site_fract_x
_atom_site_fract_y
_atom_site_fract_z
Np1 0.000 0.000 0.000
Pa1 0.250 0.250 0.250
Ag1 0.750 0.750 0.750
```


No. 2
Compound: PrNpAg
Source: the Open Quantum Materials Database
Functional: PBE
Structure: relaxed

Structure (CIF):
```
data_PrNpAg
_chemical_formula_sum 'Pr1 Np1 Ag1'
_cell_length_a 4.937
_cell_length_b 4.937
_cell_length_c 4.937
_cell_angle_alpha 60.00
_cell_angle_beta 60.00
_cell_angle_gamma 60.00
_symmetry_space_group_name_H-M 'P 1'
_symmetry_Int_Tables_number 1
loop_
_symmetry_equiv_pos_as_xyz
'x,y,z'
loop_
_atom_site_label
_atom_site_fract_x
_atom_site_fract_y
_atom_site_fract_z
Pr1 0.000 0.000 0.000
Np1 0.250 0.250 0.250
Ag1 0.750 0.750 0.750
```


| no. | DFT formation energy (eV per atom) | total magnetic moment (Bohr magnetons per cell) |
| --- | --- | --- |
| 1 | 0.6807 | 5.1 |
| 2 | 0.8796 | 4.6 |